ZrSn4Se2: relaxed, PBE-GGA.

Structure (POSCAR):
```
ZrSn4Se2
1.0
-5.1555 -0.3121 -2.7253
-2.3776 -2.3853 4.7709
-5.3899 4.9652 3.3706
Sn Se Zr
4 2 1
direct
0.0000 0.5000 0.0000
0.5000 0.0000 0.0000
0.1956 0.1956 0.6088
0.8044 0.8044 0.3912
0.3750 0.3750 0.2499
0.6250 0.6250 0.7501
0.0000 0.0000 0.0000
```

Values from the calculation:
Space group: I4/mmm, No. 139
Fermi-level density of states in states/eV per cell: 4.6
M_tot in μB/cell: 0.0
Uncorrected formation energy in eV per atom: 0.178
Total DFT energy (no corrections) in eV per cell: -30.3

Np3Al5O12: relaxed, PBE-GGA.

Structure (POSCAR):
```
Np3Al5O12
1.0
-1.8409 -10.4629 -0.9199
6.2672 1.7777 8.4422
-9.2540 5.1366 1.2986
Al O Np
20 48 12
direct
0.7500 0.6250 0.3750
0.0000 0.5000 0.0000
0.2500 0.3750 0.6250
0.6250 0.8750 0.2500
0.6250 0.7500 0.8750
0.1250 0.3750 0.2500
0.1250 0.7500 0.3750
0.3750 0.2500 0.1250
0.0000 0.5000 0.5000
0.0000 0.0000 0.0000
0.8750 0.6250 0.7500
0.2500 0.8750 0.1250
0.5000 0.0000 0.5000
0.5000 0.5000 0.5000
0.5000 0.0000 0.0000
0.7500 0.1250 0.8750
0.0000 0.0000 0.5000
0.5000 0.5000 0.0000
0.3750 0.1250 0.7500
0.8750 0.2500 0.6250
0.9192 0.1000 0.6136
0.6000 0.9864 0.6809
0.3055 0.8864 0.9864
0.4864 0.6809 0.1000
0.4000 0.0136 0.3191
0.6809 0.1945 0.5808
0.6136 0.0136 0.1945
0.6945 0.5808 0.1809
0.9192 0.8191 0.8055
0.8864 0.5808 0.9000
0.3864 0.9864 0.8055
0.0808 0.9000 0.3864
0.9000 0.0808 0.8864
0.1136 0.6945 0.5136
0.5808 0.8864 0.4000
0.9000 0.8191 0.5136
0.8191 0.9000 0.0136
0.1809 0.0808 0.6945
0.3864 0.4000 0.0808
0.1945 0.5136 0.6136
0.8055 0.3191 0.9192
0.0136 0.6136 0.6945
0.5808 0.6945 0.6809
0.9864 0.6000 0.1809
0.9864 0.3864 0.3055
0.6809 0.4864 0.6000
0.4000 0.3864 0.5808
0.6945 0.1136 0.0136
0.6000 0.6136 0.4192
0.6136 0.6000 0.9192
0.1000 0.1809 0.4864
0.8191 0.9192 0.3055
0.4864 0.8055 0.8864
0.5136 0.3191 0.9000
0.1809 0.1000 0.9864
0.4192 0.3055 0.3191
0.8055 0.4864 0.3864
0.8864 0.3055 0.4864
0.1000 0.9192 0.1136
0.3055 0.4192 0.8191
0.3191 0.8055 0.4192
0.0808 0.1809 0.1945
0.0136 0.4000 0.8191
0.4192 0.1136 0.6000
0.3191 0.5136 0.4000
0.5136 0.1945 0.1136
0.1136 0.4192 0.1000
0.1945 0.6809 0.0808
0.2500 0.6250 0.8750
0.6250 0.2500 0.3750
0.8750 0.1250 0.2500
0.3750 0.6250 0.2500
0.2500 0.1250 0.3750
0.3750 0.7500 0.6250
0.8750 0.7500 0.1250
0.7500 0.3750 0.1250
0.1250 0.8750 0.7500
0.1250 0.2500 0.8750
0.6250 0.3750 0.7500
0.7500 0.8750 0.6250
```

Values from the calculation:
Space group: Ia-3d, No. 230
Fermi-level density of states in states/eV per cell: 118.9
M_tot in μB/cell: 48.0
Uncorrected formation energy in eV per atom: -2.865
Total DFT energy (no corrections) in eV per cell: -697.3

Sm3Zn3Ga: relaxed, PBE-GGA.

Structure (POSCAR):
```
Sm3Zn3Ga
1.0
4.3960 0.0000 -0.9590
-0.1815 3.5808 -0.8318
-0.0636 0.4893 10.2631
Sm Zn Ga
3 3 1
direct
0.6914 0.1914 0.3828
0.9993 0.9993 0.9985
0.3085 0.8085 0.6171
0.1366 0.6366 0.2732
0.5660 0.5660 0.1321
0.8624 0.3624 0.7247
0.4358 0.4358 0.8717
```

Values from the calculation:
Space group: Imm2, No. 44
Fermi-level density of states in states/eV per cell: 6.5
M_tot in μB/cell: 0.0
ΔE_f in eV per atom: -0.38
Total DFT energy (no corrections) in eV per cell: -23.6

NaSbMoI2: relaxed, PBE-GGA.

Structure (POSCAR):
```
NaSbMoI2
1.0
-1.7253 -3.1121 -4.4573
3.5715 -4.1745 1.5322
-4.2196 -2.3965 3.3065
Mo Sb I Na
1 1 2 1
direct
0.5000 0.5000 0.5000
0.0000 0.0000 0.5000
0.0000 0.5000 0.0000
0.5000 0.0000 0.0000
0.0000 0.0000 0.0000
```

Values from the calculation:
Space group: P4/mmm, No. 123
ΔE to the lowest computed polymorph in eV per atom: 0.918
Fermi-level density of states in states/eV per cell: 3.6
M_tot in μB/cell: 2.3
Uncorrected formation energy in eV per atom: 1.013
Total DFT energy (no corrections) in eV per cell: -14.3

HgTeMo2: relaxed, PBE-GGA.

Structure (POSCAR):
```
HgTeMo2
1.0
3.2671 0.0000 0.0000
0.0000 3.2671 0.0000
0.0000 0.0000 8.0106
Hg Mo Te
1 2 1
direct
0.5000 0.5000 0.8092
0.0000 0.0000 0.0472
0.5000 0.5000 0.2155
0.0000 0.0000 0.4282
```

Values from the calculation:
Space group: P4mm, No. 99
ΔE to the lowest computed polymorph in eV per atom: 0.000
Fermi-level density of states in states/eV per cell: 1.9
M_tot in μB/cell: 0.0
Uncorrected formation energy in eV per atom: 0.282
Total DFT energy (no corrections) in eV per cell: -24.0

KSrCa2Ni: relaxed, PBE-GGA.

Structure (POSCAR):
```
KSrCa2Ni
1.0
-1.1689 4.7290 2.8224
0.4386 -2.7961 4.8667
6.1623 1.3811 0.2381
Ca K Ni Sr
2 1 1 1
direct
0.0000 0.5000 0.0000
0.5000 0.0000 0.0000
0.0000 0.0000 0.5000
0.0000 0.0000 0.0000
0.5000 0.5000 0.5000
```

Values from the calculation:
Space group: P4/mmm, No. 123
ΔE to the lowest computed polymorph in eV per atom: 0.161
Fermi-level density of states in states/eV per cell: 4.3
M_tot in μB/cell: 0.0
ΔE_f in eV per atom: 0.19
Total DFT energy (no corrections) in eV per cell: -11.6

ScV2Ag: relaxed, PBE-GGA.

Structure (POSCAR):
```
ScV2Ag
1.0
7.4039 0.0000 0.0000
0.0000 7.4039 0.0000
3.7019 3.7019 2.6436
V Ag Sc
4 2 2
direct
0.6420 0.1250 0.2500
0.8750 0.8920 0.7500
0.1080 0.6250 0.2500
0.3750 0.3580 0.7500
0.0000 0.0000 0.0000
0.7500 0.2500 0.5000
0.5000 0.5000 0.0000
0.2500 0.7500 0.5000
```

Values from the calculation:
Space group: I-42d, No. 122
ΔE to the lowest computed polymorph in eV per atom: 0.173
Fermi-level density of states in states/eV per cell: 10.9
M_tot in μB/cell: 4.1
ΔE_f in eV per atom: 0.74
Total DFT energy (no corrections) in eV per cell: -48.9

MnVSN2: relaxed, PBE-GGA.

Structure (POSCAR):
```
MnVSN2
1.0
-3.3930 -0.2655 -1.4909
1.1421 -2.8507 -2.0917
-1.3454 -3.2042 3.6323
N Mn S V
2 1 1 1
direct
0.5000 0.0000 0.0000
0.0000 0.5000 0.0000
0.5000 0.5000 0.5000
0.0000 0.0000 0.5000
0.0000 0.0000 0.0000
```

Values from the calculation:
Space group: P4/mmm, No. 123
ΔE to the lowest computed polymorph in eV per atom: 0.000
Fermi-level density of states in states/eV per cell: 1.2
M_tot in μB/cell: 4.6
Uncorrected formation energy in eV per atom: 0.165
Total DFT energy (no corrections) in eV per cell: -38.2

TaIn2P: relaxed, PBE-GGA.

Structure (POSCAR):
```
TaIn2P
1.0
5.6915 -0.0117 0.0000
2.9500 4.8673 0.0000
-4.3207 -2.4278 2.7982
P In Ta
1 2 1
direct
0.2500 0.7500 0.5000
0.0000 0.0000 0.0000
0.5000 0.5000 0.0000
0.7500 0.2500 0.5000
```

Values from the calculation:
Space group: I4/mmm, No. 139
Fermi-level density of states in states/eV per cell: 2.0
M_tot in μB/cell: 0.0
ΔE_f in eV per atom: 0.36
Total DFT energy (no corrections) in eV per cell: -21.3

EuMgCdGe: relaxed, PBE-GGA.

Structure (POSCAR):
```
EuMgCdGe
1.0
-3.2280 1.1149 3.8238
1.4658 -0.6636 4.8678
0.8773 4.0707 2.9906
Ge Eu Mg Cd
1 1 1 1
direct
0.2500 0.2500 0.2500
0.0000 0.0000 0.0000
0.5000 0.5000 0.5000
0.7500 0.7500 0.7500
```

Values from the calculation:
Space group: F-43m, No. 216
Fermi-level density of states in states/eV per cell: 0.8
M_tot in μB/cell: 7.0
ΔE_f in eV per atom: -0.35
Total DFT energy (no corrections) in eV per cell: -18.8

BaBeFe3: relaxed, PBE-GGA.

Structure (POSCAR):
```
BaBeFe3
1.0
4.3448 0.0000 0.0000
0.0000 4.3448 0.0000
0.0000 0.0000 4.3448
Fe Be Ba
3 1 1
direct
0.0000 0.0000 0.5000
0.5000 0.0000 0.0000
0.0000 0.5000 0.0000
0.0000 0.0000 0.0000
0.5000 0.5000 0.5000
```

Values from the calculation:
Space group: Pm-3m, No. 221
ΔE to the lowest computed polymorph in eV per atom: 0.000
Fermi-level density of states in states/eV per cell: 8.6
M_tot in μB/cell: 5.9
ΔE_f in eV per atom: 0.82
Total DFT energy (no corrections) in eV per cell: -26.9

LaRuSe2: relaxed, PBE-GGA.

Structure (POSCAR):
```
LaRuSe2
1.0
-2.1806 -4.2770 -1.8733
4.4402 -2.5855 -0.3958
-2.6432 2.0040 3.9438
La Se Ru
1 2 1
direct
0.7500 0.2500 0.5000
0.4458 0.4458 0.0000
0.0542 0.0542 0.0000
0.2500 0.7500 0.5000
```

Values from the calculation:
Space group: Immm, No. 71
ΔE to the lowest computed polymorph in eV per atom: 0.000
Fermi-level density of states in states/eV per cell: 2.4
M_tot in μB/cell: 0.0
Uncorrected formation energy in eV per atom: -0.928
Total DFT energy (no corrections) in eV per cell: -24.9